Entry 1:
Density functional theory data (PBE) for SrHfReAg2 after structural relaxation.

abc: 5.0297 5.0297 5.4767
angles: 90.00 90.00 90.00
Last column: nearest neighbours and their distance in Å.
Space group P4/mmm (No. 123)
Asymmetric unit:
Sr (0.0000, 0.0000, 0.0000)  4 Ag 2.51, 2 Hf 2.74
Hf (0.0000, 0.0000, 0.5000)  2 Sr 2.74
Re (0.5000, 0.5000, 0.5000)  4 Hf 3.56, 8 Ag 3.72
Ag (0.0000, 0.5000, 0.0000)  2 Sr 2.51

- Size of the total moment: 1.98 μB per formula unit
- Formation energy: 2463 meV/atom
- Total energy: -3.4938 eV/atom



Entry 2:
Density functional theory data (PBE) for HfThReAg after structural relaxation.

abc: 7.0104 7.0104 7.0104
angles: 90.00 90.00 90.00
Last column: nearest neighbours and their distance in Å.
Space group F-43m (No. 216)
Asymmetric unit:
Hf (0.0000, 0.0000, 0.0000)  4 Ag 3.04, 4 Re 3.04
Th (0.0000, 0.0000, 0.5000)  4 Re 3.04, 4 Ag 3.04
Re (0.2500, 0.2500, 0.7500)  4 Hf 3.04, 4 Th 3.04
Ag (0.2500, 0.2500, 0.2500)  4 Th 3.04, 4 Hf 3.04

- Size of the total moment: 0.00 μB per formula unit
- Formation energy: 50 meV/atom
- Total energy: -8.1185 eV/atom



Entry 3:
Density functional theory data (PBE) for TmHfReAg after structural relaxation.

abc: 6.7866 6.7866 6.7866
angles: 90.00 90.00 90.00
Last column: nearest neighbours and their distance in Å.
Space group F-43m (No. 216)
Asymmetric unit:
Tm (0.0000, 0.0000, 0.0000)  4 Re 2.94, 4 Ag 2.94
Hf (0.0000, 0.0000, 0.5000)  4 Re 2.94, 4 Ag 2.94
Re (0.2500, 0.2500, 0.7500)  4 Hf 2.94, 4 Tm 2.94
Ag (0.2500, 0.2500, 0.2500)  4 Hf 2.94, 4 Tm 2.94

- Size of the total moment: 0.00 μB per formula unit
- Formation energy: -106 meV/atom
- Total energy: -7.5369 eV/atom



Entry 4:
Density functional theory data (PBE) for HfAgRh2 after structural relaxation.

abc: 3.2615 3.2615 6.2591
angles: 90.00 90.00 90.00
Last column: nearest neighbours and their distance in Å.
Space group P4/mmm (No. 123)
Asymmetric unit:
Hf (0.0000, 0.0000, 0.0000)  8 Rh 2.75
Ag (0.0000, 0.0000, 0.5000)  8 Rh 2.83, 2 Hf 3.13
Rh (0.5000, 0.5000, 0.2389)  4 Hf 2.75, 4 Ag 2.83, 1 Rh 2.99

- Size of the total moment: 0.00 μB per formula unit
- Formation energy: -498 meV/atom
- Total energy: -7.3745 eV/atom



Entry 5:
Density functional theory data (PBE) for HfAgRh3 after structural relaxation.

abc: 4.7075 4.7075 4.7075
angles: 90.00 90.00 90.00
Last column: nearest neighbours and their distance in Å.
Space group Pm-3m (No. 221)
Asymmetric unit:
Hf (0.0000, 0.0000, 0.0000)  12 Rh 3.33
Ag (0.5000, 0.5000, 0.5000)  6 Rh 2.35
Rh (0.0000, 0.5000, 0.5000)  2 Ag 2.35

- Size of the total moment: 0.00 μB per formula unit
- Formation energy: 1271 meV/atom
- E above lowest polymorph: 2.30 eV/f.u.
- Total energy: -5.7008 eV/atom



Entry 6:
Density functional theory data (PBE) for HfAg2Rh2 after structural relaxation.

abc: 6.5972 6.5972 4.1390
angles: 90.00 90.00 90.00
Last column: nearest neighbours and their distance in Å.
Space group P4/mbm (No. 127)
Asymmetric unit:
Hf (0.0000, 0.0000, 0.0000)  4 Rh 2.55
Ag (0.1608, 0.3392, 0.5000)  6 Rh 2.79-2.87, 1 Ag 3.00
Rh (0.1391, 0.6391, 0.0000)  2 Hf 2.55, 1 Rh 2.60, 2 Ag 2.79

- Size of the total moment: 0.00 μB per formula unit
- Formation energy: -68 meV/atom
- Total energy: -6.1395 eV/atom



Entry 7:
Density functional theory data (PBE) for HfAgRh2 after structural relaxation.

abc: 7.1124 7.1124 5.7060
angles: 90.00 90.00 90.00
Last column: nearest neighbours and their distance in Å.
Space group I-42d (No. 122)
Asymmetric unit:
Hf (0.0000, 0.0000, 0.0000)  4 Rh 2.52
Ag (0.0000, 0.0000, 0.5000)  4 Rh 2.71, 2 Hf 2.85
Rh (0.2305, 0.2500, 0.1250)  2 Hf 2.52, 2 Ag 2.71

- Size of the total moment: 0.00 μB per formula unit
- Formation energy: -59 meV/atom
- Total energy: -6.9363 eV/atom



Entry 8:
Density functional theory data (PBE) for HfAg2Rh after structural relaxation.

abc: 6.5424 6.5424 6.5424
angles: 90.00 90.00 90.00
Last column: nearest neighbours and their distance in Å.
Space group Fm-3m (No. 225)
Asymmetric unit:
Hf (0.0000, 0.0000, 0.0000)  8 Ag 2.83
Ag (0.2500, 0.2500, 0.2500)  4 Rh 2.83, 4 Hf 2.83
Rh (0.0000, 0.0000, 0.5000)  8 Ag 2.83

- Size of the total moment: 0.00 μB per formula unit
- Formation energy: 28 meV/atom
- E above lowest polymorph: 0.00 eV/f.u.
- Total energy: -5.7234 eV/atom



Copy entry 8 word for word.
Density functional theory data (PBE) for HfAg2Rh after structural relaxation.

abc: 6.5424 6.5424 6.5424
angles: 90.00 90.00 90.00
Last column: nearest neighbours and their distance in Å.
Space group Fm-3m (No. 225)
Asymmetric unit:
Hf (0.0000, 0.0000, 0.0000)  8 Ag 2.83
Ag (0.2500, 0.2500, 0.2500)  4 Rh 2.83, 4 Hf 2.83
Rh (0.0000, 0.0000, 0.5000)  8 Ag 2.83

- Size of the total moment: 0.00 μB per formula unit
- Formation energy: 28 meV/atom
- E above lowest polymorph: 0.00 eV/f.u.
- Total energy: -5.7234 eV/atom